Entry 1:
14
Lattice="-5.579 1.173 1.980 -2.256 -1.759 -5.314 -0.455 -5.652 2.065" Properties=species:S:1:pos:R:3 comment="SmBe3Ru3 | Alexandria | PBE-GGA | relaxed" formation_enthalpy_0k_ev_per_atom=0.26 dft_energy_ha_per_atom=-0.21985 pbc="T T T"
Ru -0.792 -3.266 -0.296
Ru -1.920 -4.146 -2.953
Ru -3.131 -3.653 2.539
Ru -5.312 0.000 -1.172
Ru -2.903 -0.827 1.506
Ru -2.523 -0.586 -2.162
Sm -4.145 -3.119 -0.634
Sm 0.000 0.000 0.000
Be -1.622 -2.533 1.527
Be -1.242 -2.293 -2.141
Be -4.481 -0.733 -2.995
Be -4.412 -1.946 2.517
Be -1.469 -5.119 -1.108
Be -3.353 0.147 -0.338

Entry 2:
10
Lattice="-4.806 -0.416 -3.575 -2.208 -4.512 3.493 0.488 6.701 3.607" Properties=species:S:1:pos:R:3 comment="Tm2CoSn2 | Alexandria | PBE-GGA | relaxed" formation_enthalpy_0k_ev_per_atom=-0.50 dft_energy_ha_per_atom=-0.19509 pbc="T T T"
Tm -4.904 1.762 1.345
Tm -1.622 0.011 2.179
Tm -4.919 -2.023 1.805
Tm -1.607 3.796 1.719
Co -4.709 -2.568 -0.935
Co -2.305 -2.360 0.853
Sn -3.162 2.124 4.004
Sn -3.364 -0.350 -0.480
Sn -2.304 -2.886 3.433
Sn -4.222 4.660 0.091

Entry 3:
4
Lattice="-0.730 -3.384 1.425 3.256 0.638 -1.734 2.880 1.960 6.128" Properties=species:S:1:pos:R:3 comment="ScBeVI | Alexandria | PBE-GGA | relaxed" dft_energy_ha_per_atom=-0.18519 e_form_raw_ev_per_atom=0.14 polymorph_energy_mev_per_atom=3 pbc="T T T"
I 2.107 1.434 4.483
Sc 2.004 -0.650 -0.517
Be 1.267 -1.588 1.794
V 0.978 0.666 2.082

Entry 4:
4
Lattice="-3.021 1.709 -2.727 0.756 0.100 -4.347 -3.979 -6.243 -3.076" Properties=species:S:1:pos:R:3 comment="Sm2PbBr | Alexandria | PBE-GGA | relaxed" dft_energy_ha_per_atom=-0.16391 e_form_raw_ev_per_atom=-0.76 polymorph_energy_mev_per_atom=0 pbc="T T T"
Sm -3.242 -4.679 -2.912
Sm -1.482 -0.942 -2.520
Pb -5.472 -5.003 -7.788
Br -3.147 -2.271 -5.081

Entry 5:
5
Lattice="-3.543 -1.942 2.756 3.123 -3.398 1.620 1.271 2.933 3.702" Properties=species:S:1:pos:R:3 comment="KPt3Au | Alexandria | PBE-GGA | relaxed" formation_enthalpy_0k_ev_per_atom=2.12 dft_energy_ha_per_atom=-0.08762 polymorph_energy_mev_per_atom=1251 pbc="T T T"
K 0.000 0.000 0.000
Au 0.425 -1.204 4.039
Pt 1.561 -1.699 0.810
Pt 0.636 1.467 1.851
Pt -1.772 -0.971 1.378

Entry 6:
5
Lattice="5.179 0.000 0.000 0.000 5.179 0.000 0.000 0.000 5.373" Properties=species:S:1:pos:R:3 comment="CdAuSeBr2 | Alexandria | PBE-GGA | relaxed" dft_energy_ha_per_atom=-0.07582 e_form_raw_ev_per_atom=0.14 polymorph_energy_mev_per_atom=0 pbc="T T T"
Au 0.000 0.000 0.000
Se 0.000 0.000 2.687
Br 0.000 2.589 0.000
Br 2.589 0.000 0.000
Cd 2.589 2.589 2.687

Entry 7:
4
Lattice="-0.365 1.278 -2.262 -2.343 -0.063 -1.178 -2.944 6.436 2.592" Properties=species:S:1:pos:R:3 comment="VNi2N | Alexandria | PBE-GGA | relaxed" dft_energy_ha_per_atom=-0.24490 e_form_raw_ev_per_atom=0.59 pbc="T T T"
Ni -2.269 4.441 1.355
Ni -3.384 3.211 -2.203
N -2.826 3.826 -0.424
V 0.000 0.000 0.000

Entry 8:
20
Lattice="4.178 0.000 0.000 0.000 11.086 -3.755 0.000 0.034 11.985" Properties=species:S:1:pos:R:3 comment="Pm6Ir3Pd | Alexandria | PBE-GGA | relaxed" formation_enthalpy_0k_ev_per_atom=-0.62 dft_energy_ha_per_atom=-0.24435 polymorph_energy_mev_per_atom=0 pbc="T T T"
Pm 3.133 5.124 5.493
Pm 1.044 5.995 2.737
Pm 3.133 10.321 -2.280
Pm 1.044 0.798 10.510
Pm 3.133 4.383 -0.839
Pm 1.044 6.736 9.069
Pm 3.133 8.053 0.549
Pm 1.044 3.066 7.681
Pm 3.133 1.323 5.021
Pm 1.044 9.796 3.209
Pm 3.133 8.710 6.258
Pm 1.044 2.410 1.972
Ir 3.133 4.936 8.287
Ir 1.044 6.183 -0.057
Ir 3.133 7.757 3.498
Ir 1.044 3.363 4.732
Ir 3.133 1.744 0.246
Ir 1.044 9.375 7.984
Pd 3.133 0.616 8.111
Pd 1.044 10.503 0.119

> Number 4 is which compound?

Sm2PbBr